# 1
The following is a DFT calculation (PBE-GGA) of a geometry-optimized La2NdTe4 structure.

Cell: 9.044 9.044 9.044 Å, 119.68 119.36 90.83°
Fractional coordinates of all 14 atoms:
La: 0.000 0.000 0.000
La: 0.500 0.000 0.000
La: 0.500 0.000 0.500
La: 0.500 0.500 0.500
Nd: 0.000 0.000 0.500
Nd: 0.000 0.500 0.000
Te: 0.239 0.742 0.497
Te: 0.249 0.250 0.502
Te: 0.249 0.747 0.998
Te: 0.255 0.258 0.997
Te: 0.745 0.742 0.003
Te: 0.751 0.253 0.002
Te: 0.751 0.750 0.498
Te: 0.761 0.258 0.503

## Properties
For the energy above the most stable polymorph in this dataset, the calculation gives 0 meV per atom. The value obtained for the total moment is 0.00 μB per cell. The calculation puts the formation energy without anion corrections at -1.5358 eV per atom. The symmetry is Imma (74).



# 2
The following is a DFT calculation (PBE-GGA) of a geometry-optimized LaErIrRh structure.

Cell: 4.949 4.949 4.949 Å, 60.00 60.00 60.00°
Fractional coordinates of all 4 atoms:
La: 0.000 0.000 0.000
Er: 0.500 0.500 0.500
Ir: 0.750 0.750 0.750
Rh: 0.250 0.250 0.250

## Properties
The value obtained for the total moment is 0.00 μB per cell. The calculation puts the formation enthalpy at 0 K at -2.96 eV/f.u. The symmetry is F-43m (216).



# 3
The following is a DFT calculation (PBE-GGA) of a geometry-optimized Y2CrP structure.

Cell: 5.565 5.608 6.581 Å, 70.67 76.76 76.53°
Fractional coordinates of all 8 atoms:
Y: 0.000 0.000 0.000
Y: 0.167 0.766 0.551
Y: 0.401 0.383 0.098
Y: 0.777 0.408 0.470
Cr: 0.584 0.869 0.775
Cr: 0.663 0.962 0.409
P: 0.296 0.226 0.574
P: 0.507 0.837 0.155

## Properties
The value obtained for the total moment is 0.64 μB per cell. The calculation puts the formation enthalpy at 0 K at -1.94 eV/f.u. The symmetry is P1 (1).



# 4
The following is a DFT calculation (PBE-GGA) of a geometry-optimized SiTeAsSe2 structure.

Cell: 5.305 5.305 5.313 Å, 90.00 90.00 90.00°
Fractional coordinates of all 5 atoms:
Si: 0.000 0.000 0.000
Te: 0.500 0.500 0.500
As: 0.500 0.500 0.000
Se: 0.000 0.500 0.500
Se: 0.500 0.000 0.500

## Properties
For the energy above the most stable polymorph in this dataset, the calculation gives 585 meV per atom. The value obtained for the total moment is 0.00 μB per cell. The calculation puts the formation energy without anion corrections at 1.0049 eV per atom. The symmetry is P4/mmm (123).



# 5
The following is a DFT calculation (PBE-GGA) of a geometry-optimized La3Tb4Th2 structure.

Cell: 9.681 9.681 9.700 Å, 115.38 115.38 21.71°
Fractional coordinates of all 9 atoms:
La: 0.000 0.000 0.000
La: 0.150 0.150 0.672
La: 0.850 0.850 0.328
Tb: 0.183 0.183 0.327
Tb: 0.483 0.483 0.673
Tb: 0.517 0.517 0.327
Tb: 0.817 0.817 0.673
Th: 0.331 0.331 0.997
Th: 0.669 0.669 0.003

## Properties
The value obtained for the total moment is 0.00 μB per cell. The calculation puts the formation enthalpy at 0 K at 0.17 eV/f.u. The symmetry is C2/m (12).



# 6
The following is a DFT calculation (PBE-GGA) of a geometry-optimized SiAsRh2 structure.

Cell: 2.925 2.914 6.808 Å, 90.00 91.28 90.00°
Fractional coordinates of all 4 atoms:
Si: 0.000 0.000 0.000
As: 0.000 0.000 0.500
Rh: 0.481 0.500 0.793
Rh: 0.519 0.500 0.207

## Properties
The value obtained for the total moment is 0.00 μB per cell. The calculation puts the formation energy without anion corrections at -0.4359 eV per atom. The symmetry is P2/m (10).



# 7
The following is a DFT calculation (PBE-GGA) of a geometry-optimized BaSrZnPt structure.

Cell: 8.454 8.454 8.454 Å, 31.03 31.03 31.03°
Fractional coordinates of all 4 atoms:
Ba: 0.000 0.000 0.000
Sr: 0.831 0.831 0.831
Zn: 0.578 0.578 0.578
Pt: 0.244 0.244 0.244

## Properties
For the energy above the most stable polymorph in this dataset, the calculation gives 0 meV per atom. The value obtained for the total moment is 0.00 μB per cell. The calculation puts the formation enthalpy at 0 K at -2.35 eV/f.u. The symmetry is R3m (160).



# 8
The following is a DFT calculation (PBE-GGA) of a geometry-optimized LiSiB structure.

Cell: 7.591 7.591 3.114 Å, 90.00 90.00 151.98°
Fractional coordinates of all 6 atoms:
Li: 0.089 0.911 0.750
Li: 0.911 0.089 0.250
Si: 0.267 0.733 0.250
Si: 0.733 0.267 0.750
B: 0.500 0.500 0.000
B: 0.500 0.500 0.500

## Properties
The value obtained for the total moment is 0.00 μB per cell. The calculation puts the formation energy without anion corrections at 0.1891 eV per atom. The symmetry is Cmcm (63).